1.
## K4Ce3CrS8 (GGA-PBE)

Data for K4Ce3CrS8 after structural relaxation. Values from VASP.

Cell and atoms, written as Quantum ESPRESSO input:
```
&SYSTEM
  ibrav = 0, nat = 16, ntyp = 4
/
ATOMIC_SPECIES
K 39.10 K.upf
Ce 140.12 Ce.upf
Cr 52.00 Cr.upf
S 32.06 S.upf
CELL_PARAMETERS angstrom
7.0683 -4.0893 0.0000
7.0683 4.0893 0.0000
-4.7117 0.0000 7.3420
ATOMIC_POSITIONS crystal
K 0.0000 0.0000 0.0000
K 0.0000 0.5000 0.0000
K 0.5000 0.0000 0.0000
K 0.5000 0.5000 0.0000
Ce 0.0000 0.0000 0.5000
Ce 0.0000 0.5000 0.5000
Ce 0.5000 0.0000 0.5000
Cr 0.5000 0.5000 0.5000
S 0.2365 0.2365 0.7092
S 0.2461 0.7257 0.6976
S 0.2743 0.7539 0.3024
S 0.2767 0.2767 0.3044
S 0.7233 0.7233 0.6956
S 0.7257 0.2461 0.6976
S 0.7539 0.2743 0.3024
S 0.7635 0.7635 0.2908
```

Values from the calculation:
V: 424 Å³/cell
raw formation energy: -1536 meV per atom

=====

2.
## K3Ce2CrS6 (GGA-PBE)

Data for K3Ce2CrS6 after structural relaxation. Values from VASP.

Cell and atoms, written as Quantum ESPRESSO input:
```
&SYSTEM
  ibrav = 0, nat = 12, ntyp = 4
/
ATOMIC_SPECIES
K 39.10 K.upf
Ce 140.12 Ce.upf
Cr 52.00 Cr.upf
S 32.06 S.upf
CELL_PARAMETERS angstrom
3.4912 -6.0528 0.0000
3.4912 6.0528 0.0000
-2.3252 0.0000 7.3402
ATOMIC_POSITIONS crystal
K 0.0000 0.0000 0.0000
K 0.3328 0.6672 0.0000
K 0.6672 0.3328 0.0000
Ce 0.1667 0.8333 0.5000
Ce 0.8333 0.1667 0.5000
Cr 0.5000 0.5000 0.5000
S 0.1208 0.4340 0.3022
S 0.2538 0.2538 0.6965
S 0.4340 0.1208 0.3022
S 0.5660 0.8792 0.6978
S 0.7462 0.7462 0.3035
S 0.8792 0.5660 0.6978
```

Values from the calculation:
V: 310 Å³/cell
raw formation energy: -1456 meV per atom

=====

3.
## K2Ce2CrS6 (GGA-PBE)

Data for K2Ce2CrS6 after structural relaxation. Values from VASP.

Cell and atoms, written as Quantum ESPRESSO input:
```
&SYSTEM
  ibrav = 0, nat = 11, ntyp = 4
/
ATOMIC_SPECIES
K 39.10 K.upf
Ce 140.12 Ce.upf
Cr 52.00 Cr.upf
S 32.06 S.upf
CELL_PARAMETERS angstrom
3.4445 -5.8503 0.0000
3.4445 5.8503 0.0000
-2.3114 0.0000 7.4998
ATOMIC_POSITIONS crystal
K 0.1703 0.8297 0.0000
K 0.8297 0.1703 0.0000
Ce 0.3336 0.6664 0.5000
Ce 0.6664 0.3336 0.5000
Cr 0.0000 0.0000 0.5000
S 0.0645 0.3680 0.6903
S 0.2317 0.2317 0.3116
S 0.3680 0.0645 0.6903
S 0.6320 0.9355 0.3097
S 0.7683 0.7683 0.6884
S 0.9355 0.6320 0.3097
```

Values from the calculation:
V: 302 Å³/cell
raw formation energy: -1463 meV per atom

=====

- Which of these has the highest V?
  K4Ce3CrS8

=====

Repeat the third record exactly.
## K2Ce2CrS6 (GGA-PBE)

Data for K2Ce2CrS6 after structural relaxation. Values from VASP.

Cell and atoms, written as Quantum ESPRESSO input:
```
&SYSTEM
  ibrav = 0, nat = 11, ntyp = 4
/
ATOMIC_SPECIES
K 39.10 K.upf
Ce 140.12 Ce.upf
Cr 52.00 Cr.upf
S 32.06 S.upf
CELL_PARAMETERS angstrom
3.4445 -5.8503 0.0000
3.4445 5.8503 0.0000
-2.3114 0.0000 7.4998
ATOMIC_POSITIONS crystal
K 0.1703 0.8297 0.0000
K 0.8297 0.1703 0.0000
Ce 0.3336 0.6664 0.5000
Ce 0.6664 0.3336 0.5000
Cr 0.0000 0.0000 0.5000
S 0.0645 0.3680 0.6903
S 0.2317 0.2317 0.3116
S 0.3680 0.0645 0.6903
S 0.6320 0.9355 0.3097
S 0.7683 0.7683 0.6884
S 0.9355 0.6320 0.3097
```

Values from the calculation:
V: 302 Å³/cell
raw formation energy: -1463 meV per atom

=====

- Which formula does entry 3 have?
  K2Ce2CrS6

=====

- Which of these has the highest raw formation energy?
  K3Ce2CrS6